No. 1
Below is Np2Si3 after structural relaxation, with properties calculated at the PBE-GGA level.

Calculated values
**Space group**: P-6m2 (187)
**Energy relative to the elements, uncorrected**: -0.027 eV/atom
**Calculated volume**: 19.0 Å³/atom
**Total magnetization**: 6.3 μB/f.u.

abc: 4.2974 4.2975 5.9443
angles: 90.00 90.00 120.00
Each line ends with the local moment (μB).
Atoms (fractional coordinates):
Si 0.6666 0.3334 0.2500  -0.10
Si 0.3333 0.6667 0.7500  -0.06
Si 0.6666 0.3333 0.7500  -0.05
Np 0.0000 0.0000 0.4744  3.15
Np 0.0000 0.0000 0.0256  3.15

No. 2
Below is BaTa2BiSe after structural relaxation, with properties calculated at the PBE-GGA level.

Calculated values
**Space group**: P4/mmm (123)
**Energy relative to the elements, uncorrected**: 2.393 eV/atom
**Calculated volume**: 32.1 Å³/atom
**Total magnetization**: 1.8 μB/f.u.

abc: 5.3124 5.6898 5.3124
angles: 90.00 90.00 90.00
Each line ends with the local moment (μB).
Atoms (fractional coordinates):
Bi 0.5000 0.5000 0.5000  -0.05
Se 0.0000 0.5000 0.0000  0.08
Ba 0.0000 0.0000 0.0000  0.06
Ta 0.0000 0.0000 0.5000  0.47
Ta 0.5000 0.0000 0.0000  0.65

No. 3
Below is RbAg2Te2 after structural relaxation, with properties calculated at the PBE-GGA level.

Calculated values
**Space group**: P2_1/m (11)
**Energy relative to the elements, uncorrected**: -0.412 eV/atom
**Calculated volume**: 29.8 Å³/atom
**Total magnetization**: 0.0 μB/f.u.

abc: 5.0707 5.0981 11.5329
angles: 89.70 90.00 90.00
Atoms (fractional coordinates):
Te 0.2500 0.7745 0.6296
Te 0.7500 0.7504 0.0004
Te 0.7500 0.2255 0.3704
Te 0.2500 0.2496 0.9996
Rb 0.7500 0.2529 0.7445
Rb 0.2500 0.7471 0.2555
Ag 0.2500 0.7497 0.8742
Ag 0.7500 0.7150 0.5005
Ag 0.7500 0.2503 0.1258
Ag 0.2500 0.2850 0.4995

No. 4
Below is Th3AuC2 after structural relaxation, with properties calculated at the PBE-GGA level.

Calculated values
**E_form**: -308 meV/atom
**Space group**: Cmcm (63)
**Calculated volume**: 22.9 Å³/atom
**Total magnetization**: 0.0 μB/f.u.

abc: 3.9722 6.9641 10.3488
angles: 90.00 90.00 106.57
Atoms (fractional coordinates):
C 0.4711 0.9421 0.7500
C 0.0000 0.0000 0.0000
C 0.5289 0.0579 0.2500
C 0.0000 0.0000 0.5000
Th 0.9317 0.8633 0.2500
Th 0.6222 0.2444 0.4409
Th 0.3778 0.7556 0.5591
Th 0.3778 0.7556 0.9409
Th 0.6222 0.2444 0.0591
Th 0.0683 0.1367 0.7500
Au 0.2493 0.4986 0.2500
Au 0.7507 0.5014 0.7500

No. 5
Below is FeRuBr2 after structural relaxation, with properties calculated at the PBE-GGA level.

Calculated values
**Space group**: Cm (8)
**Energy relative to the elements, uncorrected**: 0.145 eV/atom
**Calculated volume**: 23.3 Å³/atom
**Total magnetization**: 2.9 μB/f.u.

abc: 3.7197 3.7197 7.7832
angles: 89.12 89.12 60.01
Each line ends with the local moment (μB).
Atoms (fractional coordinates):
Fe 0.5402 0.5402 0.6933  2.61
Br 0.2141 0.2141 0.3606  -0.07
Br 0.8692 0.8692 0.8934  0.08
Ru 0.8766 0.8766 0.5527  0.23

No. 6
Below is HfTiZnW after structural relaxation, with properties calculated at the PBE-GGA level.

Calculated values
**E_form**: -29 meV/atom
**Space group**: F-43m (216)
**Calculated volume**: 17.2 Å³/atom
**Total magnetization**: 0.0 μB/f.u.

abc: 4.5961 4.5961 4.5961
angles: 60.00 60.00 60.00
Atoms (fractional coordinates):
W 0.7500 0.7500 0.7500
Zn 0.2500 0.2500 0.2500
Ti 0.5000 0.5000 0.5000
Hf 0.0000 0.0000 0.0000

No. 7
Below is Al2BiP2 after structural relaxation, with properties calculated at the PBE-GGA level.

Calculated values
**E_form**: 186 meV/atom
**Space group**: P4/mbm (127)
**Calculated volume**: 18.6 Å³/atom
**Total magnetization**: 0.0 μB/f.u.

abc: 7.5051 7.5051 3.3072
angles: 90.00 90.00 90.00
Atoms (fractional coordinates):
Al 0.6290 0.1290 0.0000
Al 0.8710 0.6290 0.0000
Al 0.1290 0.3710 0.0000
Al 0.3710 0.8710 0.0000
P 0.6472 0.8528 0.5000
P 0.1472 0.6472 0.5000
P 0.3528 0.1472 0.5000
P 0.8528 0.3528 0.5000
Bi 0.5000 0.5000 0.0000
Bi 0.0000 0.0000 0.0000

No. 8
Below is AlCu2Ge after structural relaxation, with properties calculated at the PBE-GGA level.

Calculated values
**E_form**: 90 meV/atom
**Space group**: R-3m (166)
**Calculated volume**: 14.9 Å³/atom
**Total magnetization**: 0.0 μB/f.u.

abc: 4.1670 4.1670 4.6455
angles: 63.35 63.35 60.00
Atoms (fractional coordinates):
Cu 0.7745 0.7745 0.6764
Cu 0.2255 0.2255 0.3236
Al 0.5000 0.5000 0.5000
Ge 0.0000 0.0000 0.0000

No. 9
Below is LaNi12P6 after structural relaxation, with properties calculated at the PBE-GGA level.

Calculated values
**E_form**: -566 meV/atom
**Space group**: R-3m (166)
**Calculated volume**: 12.9 Å³/atom
**Total magnetization**: 0.0 μB/f.u.

abc: 6.4818 6.4818 6.4818
angles: 103.74 103.74 103.74
Atoms (fractional coordinates):
Ni 0.8204 0.5417 0.5417
Ni 0.4583 0.4583 0.1796
Ni 0.5417 0.5417 0.8204
Ni 0.1292 0.5000 0.8708
Ni 0.8708 0.1292 0.5000
Ni 0.1292 0.8708 0.5000
Ni 0.4583 0.1796 0.4583
Ni 0.5000 0.1292 0.8708
Ni 0.5417 0.8204 0.5417
Ni 0.8708 0.5000 0.1292
Ni 0.1796 0.4583 0.4583
Ni 0.5000 0.8708 0.1292
P 0.2351 0.6697 0.2351
P 0.3303 0.7649 0.7649
P 0.2351 0.2351 0.6697
P 0.7649 0.7649 0.3303
P 0.6697 0.2351 0.2351
P 0.7649 0.3303 0.7649
La 0.0000 0.0000 0.0000

No. 10
Below is Mg2HgCl6 after structural relaxation, with properties calculated at the PBE-GGA level.

Calculated values
**Space group**: P-31m (162)
**Energy relative to the elements, uncorrected**: -1.412 eV/atom
**Calculated volume**: 26.7 Å³/atom
**Total magnetization**: 0.0 μB/f.u.

abc: 6.4882 6.5356 6.5356
angles: 120.00 90.00 90.00
Atoms (fractional coordinates):
Cl 0.2825 0.3546 0.3546
Cl 0.7175 0.3546 0.0000
Cl 0.7175 0.6454 0.6454
Cl 0.7175 0.0000 0.3546
Cl 0.2825 0.6454 0.0000
Cl 0.2825 0.0000 0.6454
Mg 0.5000 0.3333 0.6667
Mg 0.5000 0.6667 0.3333
Hg 0.5000 0.0000 0.0000

No. 11
Below is Cs3CdGa after structural relaxation, with properties calculated at the PBE-GGA level.

Calculated values
**E_form**: 210 meV/atom
**Space group**: Pm-3m (221)
**Calculated volume**: 74.3 Å³/atom
**Total magnetization**: 0.0 μB/f.u.

abc: 7.1878 7.1878 7.1878
angles: 90.00 90.00 90.00
Atoms (fractional coordinates):
Cs 0.5000 0.0000 0.0000
Cs 0.0000 0.5000 0.0000
Cs 0.0000 0.0000 0.5000
Ga 0.0000 0.0000 0.0000
Cd 0.5000 0.5000 0.5000

No. 12
Below is Zr4MoRh3 after structural relaxation, with properties calculated at the PBE-GGA level.

Calculated values
**E_form**: -618 meV/atom
**Space group**: P4/mmm (123)
**Calculated volume**: 18.2 Å³/atom
**Total magnetization**: 0.0 μB/f.u.

abc: 3.3521 3.3521 12.9423
angles: 90.00 90.00 90.00
Atoms (fractional coordinates):
Zr 0.0000 0.0000 0.8760
Zr 0.0000 0.0000 0.1240
Zr 0.0000 0.0000 0.3751
Zr 0.0000 0.0000 0.6249
Rh 0.5000 0.5000 0.7419
Rh 0.5000 0.5000 0.2581
Rh 0.5000 0.5000 0.5000
Mo 0.5000 0.5000 0.0000

Question: Among the records above, which one has the highest total magnetization?
Answer: Np2Si3